Entry 1:
VASP calculation (PBE) on a relaxed structure of Ac2SbRh6Pb.

Results
Spin magnetization   0.000 μB/f.u.
E_form (uncorrected)   -0.393 eV/atom
Space group   No. 2

```
10
Lattice="-5.910 -3.645 -0.014 2.217 -3.845 -4.140 0.251 -7.188 1.491" Properties=species:S:1:pos:R:3 pbc="T T T"
Rh -2.815 -9.698 -2.569
Rh -3.650 -12.266 -1.470
Pb 0.000 0.000 0.000
Ac 0.113 -6.770 -2.397
Rh -0.626 -4.980 -0.095
Rh -3.420 -4.776 -0.294
Ac -3.555 -7.908 -0.267
Rh -0.021 -9.902 -2.369
Rh 0.208 -2.412 -1.194
Sb -1.846 -3.745 -2.077
```

---

Entry 2:
VASP calculation (PBE) on a relaxed structure of Ac2Sb3Rh4Pb.

Results
Spin magnetization   0.001 μB/f.u.
E_form (uncorrected)   -0.748 eV/atom
Space group   No. 115

```
10
Lattice="-2.075 -0.647 -4.098 -3.545 -2.102 2.128 -5.020 9.517 1.039" Properties=species:S:1:pos:R:3 pbc="T T T"
Rh -2.810 -1.375 -0.985
Rh 0.000 0.000 0.000
Rh -4.229 5.726 -1.388
Rh -3.602 2.416 1.442
Ac -5.566 6.140 1.849
Sb -2.393 0.125 1.192
Sb -5.438 8.018 -1.138
Pb -5.320 3.384 -0.466
Sb -2.510 4.759 0.519
Ac -2.265 2.003 -1.795
```

---

Entry 3:
VASP calculation (PBE) on a relaxed structure of Ac2ScRh6Pb.

Results
Spin magnetization   0.000 μB/f.u.
Space group   No. 225
Formation energy from the elements   25 meV/atom

```
10
Lattice="6.904 0.000 0.000 0.000 6.904 0.000 3.452 3.452 4.882" Properties=species:S:1:pos:R:3 pbc="T T T"
Rh 5.246 5.245 0.000
Rh 6.905 6.904 2.347
Pb 3.452 3.452 0.000
Ac 3.453 6.904 2.441
Ac 6.905 3.452 2.441
Sc 0.000 0.000 0.000
Rh 1.659 1.659 0.000
Rh 5.245 1.659 0.000
Rh 3.452 3.452 2.536
Rh 1.659 5.245 0.000
```

---

Entry 4:
VASP calculation (PBE) on a relaxed structure of Ac4RhPbSe2.

Results
Spin magnetization   0.000 μB/f.u.
E_form (uncorrected)   -1.170 eV/atom
Space group   No. 10

```
8
Lattice="4.540 0.000 0.000 0.000 7.920 0.165 0.000 -2.742 7.545" Properties=species:S:1:pos:R:3 pbc="T T T"
Ac 0.000 0.019 5.799
Se 2.270 -1.371 3.772
Ac 2.270 3.670 5.868
Ac 0.000 5.159 1.911
Rh 2.270 3.960 0.082
Ac 2.270 1.508 1.842
Pb 0.000 0.000 0.000
Se 0.000 2.589 3.855
```

---

Entry 5:
VASP calculation (PBE) on a relaxed structure of Ac2SiRh6Pb.

Results
Spin magnetization   0.000 μB/f.u.
E_form (uncorrected)   -0.471 eV/atom
Space group   No. 12

```
10
Lattice="6.266 0.005 -0.013 -0.028 7.382 0.820 3.111 4.244 5.239" Properties=species:S:1:pos:R:3 pbc="T T T"
Pb 0.000 0.000 0.000
Ac 3.100 7.546 3.153
Rh 1.350 2.270 0.650
Rh 3.119 3.358 2.664
Rh 4.884 2.262 0.632
Rh 7.998 9.360 5.396
Rh 6.230 8.272 3.382
Ac 6.249 4.084 2.894
Rh 4.465 9.368 5.414
Si 3.119 3.694 0.404
```

---

Entry 6:
VASP calculation (PBE) on a relaxed structure of AcSnRh3Pb.

Results
Spin magnetization   0.000 μB/f.u.
Space group   No. 63
Formation energy from the elements   -361 meV/atom

```
12
Lattice="-5.071 1.438 -2.671 -2.704 -4.504 2.708 -0.639 7.380 5.187" Properties=species:S:1:pos:R:3 pbc="T T T"
Pb -5.547 -0.163 0.640
Rh -0.672 -1.120 0.674
Sn -1.637 1.312 0.547
Rh -4.567 -2.665 0.699
Rh -3.208 -0.401 -0.662
Sn -6.776 3.002 4.677
Rh -2.032 -3.384 2.035
Pb -2.866 4.477 4.584
Ac -3.618 0.678 3.966
Ac -4.796 3.636 1.259
Rh -6.170 1.441 2.686
Rh -2.243 2.873 2.538
```

---

Entry 7:
VASP calculation (PBE) on a relaxed structure of Ac2Sn4Rh3Pb.

Results
Spin magnetization   0.000 μB/f.u.
Space group   No. 115
Formation energy from the elements   -580 meV/atom

```
10
Lattice="4.711 0.000 0.000 0.000 4.711 0.000 0.000 0.000 11.186" Properties=species:S:1:pos:R:3 pbc="T T T"
Pb 2.356 2.356 5.593
Rh 2.356 0.000 9.883
Sn 0.000 0.000 0.000
Ac 0.000 2.356 8.515
Sn 2.356 0.000 7.291
Ac 2.356 0.000 2.671
Sn 2.356 2.356 0.000
Rh 0.000 0.000 5.593
Sn 0.000 2.356 3.895
Rh 0.000 2.356 1.303
```

---

Entry 8:
VASP calculation (PBE) on a relaxed structure of Ac2SnRh4Pb3.

Results
Spin magnetization   0.000 μB/f.u.
Space group   No. 115
Formation energy from the elements   -472 meV/atom

```
10
Lattice="-3.172 2.941 -1.809 0.720 -1.838 -4.253 -7.900 -7.381 1.851" Properties=species:S:1:pos:R:3 pbc="T T T"
Rh -6.540 -3.158 0.257
Ac -5.582 -6.470 -0.734
Pb -0.651 -1.864 -1.889
Rh -2.585 -3.671 -1.436
Ac -3.544 -0.359 -0.445
Rh -1.226 0.552 -3.031
Sn -5.176 -3.139 -2.105
Pb -8.475 -4.965 0.710
Pb -3.950 -3.690 0.926
Rh 0.000 0.000 0.000
```

---

Entry 9:
VASP calculation (PBE) on a relaxed structure of Ac4Te2RhPb.

Results
Spin magnetization   0.000 μB/f.u.
E_form (uncorrected)   -1.026 eV/atom
Space group   No. 10

```
8
Lattice="-4.555 -0.954 -0.012 1.254 -6.057 5.154 -1.472 6.973 4.378" Properties=species:S:1:pos:R:3 pbc="T T T"
Ac 0.588 -2.870 4.723
Ac -0.806 3.785 4.809
Te -3.013 3.009 2.183
Rh -1.650 -3.506 2.571
Ac -2.507 0.525 7.169
Ac -2.266 -0.564 2.350
Te -0.109 0.458 4.766
Pb 0.000 0.000 0.000
```

---

Entry 10:
VASP calculation (PBE) on a relaxed structure of AcTlRhPb.

Results
Spin magnetization   0.000 μB/f.u.
Space group   No. 216
Formation energy from the elements   -189 meV/atom

```
4
Lattice="5.322 0.000 0.000 2.661 4.609 0.000 2.661 1.536 4.346" Properties=species:S:1:pos:R:3 pbc="T T T"
Tl 0.000 0.000 0.000
Ac 2.661 1.536 1.086
Rh 5.322 3.073 2.173
Pb 7.983 4.609 3.259
```

---

Entry 11:
VASP calculation (PBE) on a relaxed structure of AcTmRhPb.

Results
Spin magnetization   0.000 μB/f.u.
Space group   No. 216
Formation energy from the elements   -372 meV/atom

```
4
Lattice="-0.687 2.321 4.788 1.751 -2.446 4.442 4.224 1.968 2.658" Properties=species:S:1:pos:R:3 pbc="T T T"
Rh 2.645 0.921 5.944
Ac 1.322 0.461 2.972
Pb 0.000 0.000 0.000
Tm 3.967 1.382 8.916
```

---

Entry 12:
VASP calculation (PBE) on a relaxed structure of Ac2TmRh4Pb3.

Results
Spin magnetization   0.000 μB/f.u.
Space group   No. 115
Formation energy from the elements   -522 meV/atom

```
10
Lattice="-0.084 -3.552 2.829 4.374 0.698 1.006 -3.182 7.150 8.883" Properties=species:S:1:pos:R:3 pbc="T T T"
Rh 2.145 -1.427 1.917
Pb -1.591 3.575 4.442
Rh 0.000 0.000 0.000
Pb -2.823 4.472 9.178
Rh 1.050 2.903 3.676
Pb 1.786 1.251 1.623
Ac -0.801 -0.070 3.534
Tm 0.554 2.148 6.359
Rh -2.087 2.819 7.125
Ac -0.236 5.793 7.266
```

---

Entry 13:
VASP calculation (PBE) on a relaxed structure of AcYRhPb.

Results
Spin magnetization   0.000 μB/f.u.
Space group   No. 216
Formation energy from the elements   -391 meV/atom

```
4
Lattice="-4.970 0.493 2.048 -1.873 -3.697 3.459 -0.661 1.265 5.206" Properties=species:S:1:pos:R:3 pbc="T T T"
Rh 0.000 0.000 0.000
Ac -1.876 -0.485 2.678
Y -5.628 -1.454 8.035
Pb -3.752 -0.969 5.357
```

---

Entry 14:
VASP calculation (PBE) on a relaxed structure of Ac5RuPb4.

Results
Spin magnetization   0.000 μB/f.u.
Space group   No. 87
Formation energy from the elements   -298 meV/atom

```
10
Lattice="6.463 0.000 0.000 3.231 7.528 0.000 3.231 0.000 7.528" Properties=species:S:1:pos:R:3 pbc="T T T"
Ac 3.236 0.000 0.000
Pb 9.701 5.391 4.451
Ru 0.007 0.000 0.000
Ac 6.469 0.935 2.707
Pb 6.469 3.077 5.391
Ac 6.469 6.594 4.821
Pb 6.469 4.451 2.137
Ac 9.701 2.707 6.594
Ac 3.238 4.821 0.935
Pb 3.238 2.137 3.077
```

---

Entry 15:
VASP calculation (PBE) on a relaxed structure of Ac5RuPb.

Results
Spin magnetization   0.000 μB/f.u.
Space group   No. 15
Formation energy from the elements   -159 meV/atom

```
14
Lattice="-4.354 3.804 -4.493 -0.577 -2.367 -6.905 -10.623 -6.110 -1.002" Properties=species:S:1:pos:R:3 pbc="T T T"
Ru 0.000 0.000 0.000
Ru -5.312 -3.055 -0.501
Ac -9.550 -6.109 -3.680
Ac -2.956 1.396 -3.988
Ac -6.948 -3.815 -5.332
Ac -8.674 -6.738 -7.573
Ac -6.880 2.064 -4.826
Ac -6.004 1.436 -8.719
Ac -8.606 -0.858 -7.067
Ac -5.603 -0.825 -2.308
Ac -9.951 -3.848 -10.091
Ac -12.598 -6.070 -8.411
Pb -10.507 -3.744 -6.403
Pb -5.047 -0.930 -5.996
```

---

Entry 16:
VASP calculation (PBE) on a relaxed structure of AcRuPb.

Results
Spin magnetization   0.000 μB/f.u.
Space group   No. 8
Formation energy from the elements   -64 meV/atom

```
6
Lattice="4.565 -0.105 -0.129 -1.657 4.255 0.129 -2.553 -1.305 9.024" Properties=species:S:1:pos:R:3 pbc="T T T"
Pb 2.372 1.432 2.423
Pb -2.108 1.478 7.079
Ru 0.127 3.005 2.609
Ac 0.159 -0.111 4.566
Ac -0.004 0.003 0.318
Ru 0.121 -0.085 7.519
```

---

Entry 17:
VASP calculation (PBE) on a relaxed structure of Ac12Ru2Pb5.

Results
Spin magnetization   0.810 μB/f.u.
Space group   No. 12
Formation energy from the elements   -277 meV/atom

```
19
Lattice="-3.360 -3.639 -6.768 10.362 -0.123 0.118 -2.952 -8.344 5.952" Properties=species:S:1:pos:R:3 pbc="T T T"
Ru -2.434 -2.636 -4.903
Pb 0.727 -5.598 -2.547
Ac 0.030 -3.973 -5.565
Ac 6.451 -5.236 -5.584
Ac 4.022 -5.869 -1.443
Ac -1.654 -8.059 -2.644
Ac 4.020 -8.133 4.867
Ac 1.640 -2.230 -2.322
Ac 0.028 -6.237 0.745
Pb 4.901 -2.594 -1.039
Ru -0.926 -1.003 -1.865
Ac 5.704 -4.047 1.946
Ac -2.279 -3.657 -2.099
Pb 3.324 -6.508 1.849
Ac -2.401 -6.870 4.886
Pb -1.476 -4.172 2.976
Ac 2.410 -9.876 1.624
Pb -0.851 -9.513 0.341
Ac 6.329 -8.449 1.401
```

---

Entry 18:
VASP calculation (PBE) on a relaxed structure of Ac8RuPb3.

Results
Spin magnetization   0.000 μB/f.u.
Space group   No. 139
Formation energy from the elements   -187 meV/atom

```
12
Lattice="-3.116 -7.033 -1.789 3.757 0.102 -6.946 5.879 -0.120 7.668" Properties=species:S:1:pos:R:3 pbc="T T T"
Ac 3.601 -2.414 -4.961
Ac 6.568 -0.850 1.157
Pb 4.979 -1.742 -1.822
Ac 2.920 -4.638 3.895
Ac 4.914 -4.584 0.207
Pb 1.542 -5.310 0.756
Ac 1.606 -2.468 -1.274
Ac 1.947 -6.147 -5.910
Ru 0.000 0.000 0.000
Ac -0.047 -6.202 -2.223
Pb 0.321 -3.465 -4.367
Ac 4.574 -0.904 4.844
```

---

Entry 19:
VASP calculation (PBE) on a relaxed structure of Ac8Ru2Pb3.

Results
Spin magnetization   0.000 μB/f.u.
Space group   No. 166
Formation energy from the elements   -89 meV/atom

```
13
Lattice="7.509 0.000 0.000 3.754 6.503 0.000 3.754 2.168 10.378" Properties=species:S:1:pos:R:3 pbc="T T T"
Ac 7.509 6.561 7.087
Ac 7.509 2.110 3.292
Pb 3.754 2.168 4.202
Ru 7.509 4.335 8.631
Ac 9.436 5.448 3.292
Ac 11.263 6.503 9.480
Ru 7.509 4.335 1.748
Pb 0.000 0.000 0.000
Ac 5.582 3.223 7.087
Ac 9.436 3.223 7.087
Ac 5.582 5.448 3.292
Ac 3.754 2.168 0.898
Pb 11.263 6.503 6.176
```

---

Entry 20:
VASP calculation (PBE) on a relaxed structure of Ac3RuPb2.

Results
Spin magnetization   0.000 μB/f.u.
Excess energy over the best structure of this formula in the dataset   0.00 eV per formula unit
Space group   No. 62
Formation energy from the elements   -401 meV/atom

```
24
Lattice="-2.292 1.339 -3.647 8.435 -6.782 -7.792 -7.974 -11.024 0.964" Properties=species:S:1:pos:R:3 pbc="T T T"
Pb 1.090 -4.510 -6.526
Ac 5.456 -6.819 -10.118
Ac 2.136 -2.724 -3.738
Ac 0.276 -7.012 -4.144
Ac -2.108 -9.455 -6.332
Ac -3.857 -6.623 -1.403
Ru -1.237 -14.401 -8.696
Pb 1.286 -9.804 -5.804
Ac -7.287 -9.648 -0.358
Pb -2.991 -3.184 -0.684
Pb -2.922 -11.957 -3.950
Ru -0.594 -2.065 -1.780
Ru 0.701 -7.242 -7.285
Pb 1.159 -13.283 -9.791
Pb -3.118 -6.663 -4.672
Ac 3.515 -7.177 -6.240
Pb -0.158 -0.325 -4.205
Ac -1.971 -3.286 -4.153
Ac 2.025 -9.844 -9.073
Ac -3.968 -13.743 -6.738
Ru -2.533 -9.225 -3.191
Ac -5.347 -9.289 -4.236
Ac 0.139 -13.181 -6.323
Pb -1.674 -16.142 -6.271
```

---

Entry 21:
VASP calculation (PBE) on a relaxed structure of Ac12RuPb6.

Results
Spin magnetization   0.000 μB/f.u.
Space group   No. 148
Formation energy from the elements   -290 meV/atom

```
19
Lattice="9.375 0.040 0.048 -1.381 9.272 0.048 -1.381 -1.609 9.132" Properties=species:S:1:pos:R:3 pbc="T T T"
Pb 1.934 0.091 6.150
Ac -0.311 2.864 0.354
Pb 5.672 2.827 1.188
Ac 2.205 6.557 5.321
Pb 0.940 4.877 8.040
Ac 0.465 3.035 5.154
Ac -0.115 -0.332 2.881
Ru 0.000 0.000 0.000
Ac 6.726 8.035 6.347
Ac 2.878 0.325 0.188
Ac 2.929 4.907 1.826
Pb 6.815 1.996 6.235
Ac 4.406 1.147 3.907
Ac 3.734 7.378 9.040
Ac 6.922 4.839 8.874
Pb -0.204 5.707 2.993
Ac 6.146 4.668 4.074
Pb 4.678 7.613 3.078
Ac 3.683 2.796 7.402
```

---

N(E_F) for the records above, in order: 9.0; 8.2; 7.5; 4.5; 7.4; 2.8; 5.0; 8.5; 3.9; 4.4; 3.8; 7.0; 3.8; 9.2; 6.9; 2.9; 17.3; 12.4; 11.0; 4.7; 20.3 states/eV/f.u.
Total DFT energy (no corrections) for the records above, in order: -6.409; -6.118; -6.212; -5.478; -6.616; -6.007; -5.579; -5.747; -5.248; -4.572; -5.282; -5.844; -5.799; -4.763; -4.948; -5.762; -4.824; -4.626; -4.900; -5.238; -4.544 eV/atom